[1]
Li2ZnO2: optimized geometry, PBE.

Cell and atoms, written as POSCAR:
```
Li2ZnO2
1.0
7.549 0.000 0.000
0.000 5.024 0.000
-0.165 0.000 5.034
Li Zn O
8 4 8
Direct
0.032 0.245 0.001 Li
0.032 0.255 0.501 Li
0.263 0.710 0.981 Li
0.263 0.790 0.481 Li
0.737 0.210 0.519 Li
0.737 0.290 0.019 Li
0.968 0.745 0.499 Li
0.968 0.755 0.999 Li
0.368 0.142 0.835 Zn
0.368 0.358 0.335 Zn
0.632 0.642 0.665 Zn
0.632 0.858 0.165 Zn
0.132 0.522 0.248 O
0.132 0.978 0.748 O
0.385 0.511 0.719 O
0.385 0.989 0.219 O
0.615 0.011 0.781 O
0.615 0.489 0.281 O
0.868 0.022 0.252 O
0.868 0.478 0.752 O
```

Calculated values
Symmetry: No. 14
Energy, eV/atom: -4.616
Crystal system: monoclinic



[2]
LaPaN2: optimized geometry, PBE.

Cell and atoms, written as POSCAR:
```
LaPaN2
1.0
3.588 0.000 0.000
-1.794 3.107 0.000
0.000 0.000 17.754
La Pa N
3 3 6
Direct
0.000 0.000 0.000 La
0.333 0.667 0.667 La
0.667 0.333 0.333 La
0.000 0.000 0.500 Pa
0.333 0.667 0.167 Pa
0.667 0.333 0.833 Pa
0.000 0.000 0.233 N
0.000 0.000 0.767 N
0.333 0.667 0.434 N
0.333 0.667 0.899 N
0.667 0.333 0.101 N
0.667 0.333 0.566 N
```

Calculated values
Symmetry: No. 166
Energy, eV/atom: -9.346
Size of the total moment, μB per atom: 0.0001
Crystal system: trigonal



[3]
HoZn2Ge2: optimized geometry, PBE.

Cell and atoms, written as POSCAR:
```
HoZn2Ge2
1.0
4.063 0.000 0.000
0.000 4.063 0.000
0.000 0.000 11.235
Ho Zn Ge
2 4 4
Direct
0.000 0.000 0.000 Ho
0.500 0.500 0.500 Ho
0.000 0.500 0.250 Zn
0.000 0.500 0.750 Zn
0.500 0.000 0.250 Zn
0.500 0.000 0.750 Zn
0.000 0.000 0.389 Ge
0.000 0.000 0.611 Ge
0.500 0.500 0.111 Ge
0.500 0.500 0.889 Ge
```

Calculated values
Symmetry: No. 139
Energy, eV/atom: -3.586
Size of the total moment, μB per atom: 0.0000
Crystal system: tetragonal



[4]
DyY2NiSn3Pt2: optimized geometry, PBE.

Cell and atoms, written as POSCAR:
```
DyY2NiSn3Pt2
1.0
3.927 0.000 0.000
0.000 6.502 3.760
0.000 -6.502 3.760
Dy Y Ni Sn Pt
1 2 1 3 2
Direct
0.000 0.000 0.000 Dy
0.000 0.190 0.595 Y
0.000 0.595 0.190 Y
0.000 0.596 0.596 Ni
0.500 0.346 0.346 Sn
0.500 0.595 0.844 Sn
0.500 0.844 0.595 Sn
0.500 0.260 0.928 Pt
0.500 0.928 0.260 Pt
```

Calculated values
Symmetry: No. 38
Energy, eV/atom: -6.233
Size of the total moment, μB per atom: 0.0001
Crystal system: orthorhombic



[5]
Dy5B2C5: optimized geometry, PBE.

Cell and atoms, written as POSCAR:
```
Dy5B2C5
1.0
8.142 0.000 0.000
0.000 8.142 0.000
0.000 0.000 10.748
Dy B C
20 8 20
Direct
0.037 0.656 0.100 Dy
0.037 0.844 0.600 Dy
0.156 0.537 0.400 Dy
0.156 0.963 0.900 Dy
0.250 0.250 0.140 Dy
0.250 0.250 0.640 Dy
0.344 0.537 0.900 Dy
0.344 0.963 0.400 Dy
0.463 0.656 0.600 Dy
0.463 0.844 0.100 Dy
0.537 0.156 0.900 Dy
0.537 0.344 0.400 Dy
0.656 0.037 0.600 Dy
0.656 0.463 0.100 Dy
0.750 0.750 0.360 Dy
0.750 0.750 0.860 Dy
0.844 0.037 0.100 Dy
0.844 0.463 0.600 Dy
0.963 0.156 0.400 Dy
0.963 0.344 0.900 Dy
0.094 0.594 0.750 B
0.094 0.906 0.250 B
0.406 0.594 0.250 B
0.406 0.906 0.750 B
0.594 0.094 0.250 B
0.594 0.406 0.750 B
0.906 0.094 0.750 B
0.906 0.406 0.250 B
0.052 0.649 0.876 C
0.052 0.851 0.376 C
0.149 0.552 0.624 C
0.149 0.948 0.124 C
0.250 0.250 0.402 C
0.250 0.250 0.902 C
0.351 0.552 0.124 C
0.351 0.948 0.624 C
0.448 0.649 0.376 C
0.448 0.851 0.876 C
0.552 0.149 0.124 C
0.552 0.351 0.624 C
0.649 0.052 0.376 C
0.649 0.448 0.876 C
0.750 0.750 0.098 C
0.750 0.750 0.598 C
0.851 0.052 0.876 C
0.851 0.448 0.376 C
0.948 0.149 0.624 C
0.948 0.351 0.124 C
```

Calculated values
Symmetry: No. 130
Energy, eV/atom: -7.309
Size of the total moment, μB per atom: 0.0005
Crystal system: tetragonal



[6]
NaPrCdSe3: optimized geometry, PBE.

Cell and atoms, written as POSCAR:
```
NaPrCdSe3
1.0
8.168 0.000 0.000
0.000 4.291 0.000
-2.322 0.000 10.014
Na Pr Cd Se
2 2 2 6
Direct
0.229 0.250 0.232 Na
0.771 0.750 0.768 Na
0.308 0.750 0.864 Pr
0.692 0.250 0.136 Pr
0.081 0.250 0.606 Cd
0.919 0.750 0.394 Cd
0.049 0.250 0.855 Se
0.249 0.750 0.545 Se
0.446 0.750 0.153 Se
0.554 0.250 0.847 Se
0.751 0.250 0.455 Se
0.951 0.750 0.145 Se
```

Calculated values
Symmetry: No. 11
Energy, eV/atom: -4.145
Size of the total moment, μB per atom: 0.0002
Crystal system: monoclinic
Offset from the most stable computed form, meV/atom: 19



[7]
Re2HgAs: optimized geometry, PBE.

Cell and atoms, written as POSCAR:
```
Re2HgAs
1.0
6.472 0.000 0.000
0.000 6.472 0.000
0.000 0.000 6.472
Re Hg As
8 4 4
Direct
0.000 0.000 0.000 Re
0.000 0.500 0.500 Re
0.250 0.250 0.250 Re
0.250 0.750 0.750 Re
0.500 0.000 0.500 Re
0.500 0.500 0.000 Re
0.750 0.250 0.750 Re
0.750 0.750 0.250 Re
0.250 0.250 0.750 Hg
0.250 0.750 0.250 Hg
0.750 0.250 0.250 Hg
0.750 0.750 0.750 Hg
0.000 0.000 0.500 As
0.000 0.500 0.000 As
0.500 0.000 0.000 As
0.500 0.500 0.500 As
```

Calculated values
Symmetry: No. 216
Energy, eV/atom: -6.528
Size of the total moment, μB per atom: 0.0016
Crystal system: cubic



[8]
Zr4FeAuN2: optimized geometry, PBE.

Cell and atoms, written as POSCAR:
```
Zr4FeAuN2
1.0
3.259 0.000 0.000
-1.630 2.822 0.000
0.000 0.000 13.713
Zr Fe Au N
4 1 1 2
Direct
0.000 0.000 0.142 Zr
0.000 0.000 0.858 Zr
0.667 0.333 0.334 Zr
0.667 0.333 0.666 Zr
0.667 0.333 0.000 Fe
0.000 0.000 0.500 Au
0.333 0.667 0.241 N
0.333 0.667 0.759 N
```

Calculated values
Symmetry: No. 187
Energy, eV/atom: -8.672
Size of the total moment, μB per atom: 0.1225
Crystal system: hexagonal



[9]
ScTaZnNi: optimized geometry, PBE.

Cell and atoms, written as POSCAR:
```
ScTaZnNi
1.0
6.348 0.000 0.000
0.000 6.348 0.000
0.000 0.000 6.348
Sc Ta Zn Ni
4 4 4 4
Direct
0.000 0.000 0.000 Sc
0.000 0.500 0.500 Sc
0.500 0.000 0.500 Sc
0.500 0.500 0.000 Sc
0.250 0.250 0.750 Ta
0.250 0.750 0.250 Ta
0.750 0.250 0.250 Ta
0.750 0.750 0.750 Ta
0.250 0.250 0.250 Zn
0.250 0.750 0.750 Zn
0.750 0.250 0.750 Zn
0.750 0.750 0.250 Zn
0.000 0.000 0.500 Ni
0.000 0.500 0.000 Ni
0.500 0.000 0.000 Ni
0.500 0.500 0.500 Ni
```

Calculated values
Symmetry: No. 216
Formation enthalpy at 0 K, kcal/mol of atoms: 4.0
Energy, eV/atom: -6.080
Size of the total moment, μB per atom: 0.5004
Crystal system: cubic
Offset from the most stable computed form, meV/atom: 0



[10]
NaSrCd: optimized geometry, PBE.

Cell and atoms, written as POSCAR:
```
NaSrCd
1.0
7.728 0.000 0.000
0.000 7.728 0.000
0.000 0.000 7.728
Na Sr Cd
4 4 4
Direct
0.000 0.000 0.000 Na
0.000 0.500 0.500 Na
0.500 0.000 0.500 Na
0.500 0.500 0.000 Na
0.250 0.250 0.750 Sr
0.250 0.750 0.250 Sr
0.750 0.250 0.250 Sr
0.750 0.750 0.750 Sr
0.000 0.000 0.500 Cd
0.000 0.500 0.000 Cd
0.500 0.000 0.000 Cd
0.500 0.500 0.500 Cd
```

Calculated values
Symmetry: No. 216
Energy, eV/atom: -1.111
Crystal system: cubic



[11]
HoTaSb: optimized geometry, PBE.

Cell and atoms, written as POSCAR:
```
HoTaSb
1.0
7.020 0.000 0.000
0.000 7.020 0.000
0.000 0.000 7.020
Ho Ta Sb
4 4 4
Direct
0.000 0.000 0.000 Ho
0.000 0.500 0.500 Ho
0.500 0.000 0.500 Ho
0.500 0.500 0.000 Ho
0.250 0.250 0.250 Ta
0.250 0.750 0.750 Ta
0.750 0.250 0.750 Ta
0.750 0.750 0.250 Ta
0.250 0.250 0.750 Sb
0.250 0.750 0.250 Sb
0.750 0.250 0.250 Sb
0.750 0.750 0.750 Sb
```

Calculated values
Symmetry: No. 216
Energy, eV/atom: -6.006
Size of the total moment, μB per atom: 0.9687
Crystal system: cubic
Offset from the most stable computed form, meV/atom: 636



[12]
Cu3P: optimized geometry, PBE.

Cell and atoms, written as POSCAR:
```
Cu3P
1.0
4.045 0.000 0.000
-2.023 3.503 0.000
0.000 0.000 7.151
Cu P
6 2
Direct
0.000 0.000 0.250 Cu
0.000 0.000 0.750 Cu
0.333 0.667 0.074 Cu
0.333 0.667 0.426 Cu
0.667 0.333 0.574 Cu
0.667 0.333 0.926 Cu
0.333 0.667 0.750 P
0.667 0.333 0.250 P
```

Calculated values
Symmetry: No. 194
Energy, eV/atom: -4.130
Crystal system: hexagonal